Entry 1:
A plane-wave DFT calculation with PBE was carried out for crystalline KTeN2O at its relaxed geometry.

CIF file:
```
data_KTeN2O
_space_group_name_H-M_alt 'P 4/m m m'
_space_group_IT_number 123
_space_group_name_Hall '-P 4 2'
_cell_length_a 4.0631
_cell_length_b 4.0631
_cell_length_c 4.1868
_cell_angle_alpha 90.00
_cell_angle_beta 90.00
_cell_angle_gamma 90.00
loop_
_atom_site_label
_atom_site_fract_x
_atom_site_fract_y
_atom_site_fract_z
K1 0.0000 0.0000 0.0000
Te1 0.5000 0.5000 0.5000
N1 0.0000 0.5000 0.5000
O1 0.5000 0.5000 0.0000
```

Results
* M_tot: 0.7 Bohr magnetons per cell

Entry 2:
A plane-wave DFT calculation with PBE was carried out for crystalline KTiNO2 at its relaxed geometry.

CIF file:
```
data_KTiNO2
_space_group_name_H-M_alt 'P 4/m m m'
_space_group_IT_number 123
_space_group_name_Hall '-P 4 2'
_cell_length_a 4.1458
_cell_length_b 4.1458
_cell_length_c 4.2272
_cell_angle_alpha 90.00
_cell_angle_beta 90.00
_cell_angle_gamma 90.00
loop_
_atom_site_label
_atom_site_fract_x
_atom_site_fract_y
_atom_site_fract_z
K1 0.0000 0.0000 0.0000
Ti1 0.5000 0.5000 0.5000
N1 0.0000 0.0000 0.5000
O1 0.0000 0.5000 0.0000
```

Results
* M_tot: 0.9 Bohr magnetons per cell

Entry 3:
A plane-wave DFT calculation with PBE was carried out for crystalline KTiNO2 at its relaxed geometry.

CIF file:
```
data_KTiNO2
_space_group_name_H-M_alt 'P 4/m m m'
_space_group_IT_number 123
_space_group_name_Hall '-P 4 2'
_cell_length_a 3.9579
_cell_length_b 3.9579
_cell_length_c 4.1894
_cell_angle_alpha 90.00
_cell_angle_beta 90.00
_cell_angle_gamma 90.00
loop_
_atom_site_label
_atom_site_fract_x
_atom_site_fract_y
_atom_site_fract_z
K1 0.0000 0.0000 0.0000
Ti1 0.5000 0.5000 0.5000
N1 0.5000 0.5000 0.0000
O1 0.0000 0.5000 0.5000
```

Results
* M_tot: 2.0 Bohr magnetons per cell

Entry 4:
A plane-wave DFT calculation with PBE was carried out for crystalline KTlNO2 at its relaxed geometry.

CIF file:
```
data_KTlNO2
_space_group_name_H-M_alt 'P 4/m m m'
_space_group_IT_number 123
_space_group_name_Hall '-P 4 2'
_cell_length_a 4.4398
_cell_length_b 4.4398
_cell_length_c 4.5657
_cell_angle_alpha 90.00
_cell_angle_beta 90.00
_cell_angle_gamma 90.00
loop_
_atom_site_label
_atom_site_fract_x
_atom_site_fract_y
_atom_site_fract_z
K1 0.0000 0.0000 0.0000
Tl1 0.5000 0.5000 0.5000
N1 0.5000 0.5000 0.0000
O1 0.0000 0.5000 0.5000
```

Results
* M_tot: 2.9 Bohr magnetons per cell

Entry 5:
A plane-wave DFT calculation with PBE was carried out for crystalline KTlNO2 at its relaxed geometry.

CIF file:
```
data_KTlNO2
_space_group_name_H-M_alt 'P 4/m m m'
_space_group_IT_number 123
_space_group_name_Hall '-P 4 2'
_cell_length_a 4.9133
_cell_length_b 4.9133
_cell_length_c 5.1458
_cell_angle_alpha 90.00
_cell_angle_beta 90.00
_cell_angle_gamma 90.00
loop_
_atom_site_label
_atom_site_fract_x
_atom_site_fract_y
_atom_site_fract_z
K1 0.0000 0.0000 0.0000
Tl1 0.5000 0.5000 0.5000
N1 0.0000 0.0000 0.5000
O1 0.0000 0.5000 0.0000
```

Results
* M_tot: 5.0 Bohr magnetons per cell

Entry 6:
A plane-wave DFT calculation with PBE was carried out for crystalline KUNO2 at its relaxed geometry.

CIF file:
```
data_KUNO2
_space_group_name_H-M_alt 'P 4/m m m'
_space_group_IT_number 123
_space_group_name_Hall '-P 4 2'
_cell_length_a 4.3419
_cell_length_b 4.3419
_cell_length_c 4.1541
_cell_angle_alpha 90.00
_cell_angle_beta 90.00
_cell_angle_gamma 90.00
loop_
_atom_site_label
_atom_site_fract_x
_atom_site_fract_y
_atom_site_fract_z
K1 0.0000 0.0000 0.0000
U1 0.5000 0.5000 0.5000
N1 0.5000 0.5000 0.0000
O1 0.0000 0.5000 0.5000
```

Results
* M_tot: 0.0 Bohr magnetons per cell

Sequential energy relative to the elements, uncorrected output: 0.494; 1.401; -1.364; 0.333; 1.084; -2.203 eV/atom